1.
InHg2: relaxed, GGA-PBEsol.

```
data_InHg2
_space_group_name_H-M_alt 'I m m m'
_space_group_IT_number 71
_space_group_name_Hall '-I 2 2'
_cell_length_a 3.374
_cell_length_b 4.576
_cell_length_c 9.277
_cell_angle_alpha 90.00
_cell_angle_beta 90.00
_cell_angle_gamma 90.00
loop_
_atom_site_label
_atom_site_fract_x
_atom_site_fract_y
_atom_site_fract_z
_atom_site_occupancy
In1 0.000 0.000 0.000 1
Hg1 0.000 0.000 0.333 1
```

The energy relative to the elements is -1.9 kJ/mol of atoms.

2.
AlCr2Sb: relaxed, GGA-PBEsol.

```
data_AlCr2Sb
_space_group_name_H-M_alt 'F -4 3 m'
_space_group_IT_number 216
_space_group_name_Hall 'F -4 2 3'
_cell_length_a 6.390
_cell_length_b 6.390
_cell_length_c 6.390
_cell_angle_alpha 90.00
_cell_angle_beta 90.00
_cell_angle_gamma 90.00
loop_
_atom_site_label
_atom_site_fract_x
_atom_site_fract_y
_atom_site_fract_z
_atom_site_occupancy
Al1 0.000 0.000 0.000 1
Cr1 0.000 0.000 0.500 1
Cr2 0.250 0.250 0.250 1
Sb1 0.250 0.250 0.750 1
```

3.
Cd3Ag2: relaxed, GGA-PBEsol.

```
data_Cd3Ag2
_space_group_name_H-M_alt 'I 4/m m m'
_space_group_IT_number 139
_space_group_name_Hall '-I 4 2'
_cell_length_a 3.092
_cell_length_b 3.092
_cell_length_c 19.323
_cell_angle_alpha 90.00
_cell_angle_beta 90.00
_cell_angle_gamma 90.00
loop_
_atom_site_label
_atom_site_fract_x
_atom_site_fract_y
_atom_site_fract_z
_atom_site_occupancy
Cd1 0.000 0.000 0.000 1
Cd2 0.000 0.000 0.196 1
Ag1 0.000 0.000 0.402 1
```

The energy relative to the elements is -5.5 kJ/mol of atoms.

4.
PrB2Os2: relaxed, GGA-PBEsol.

```
data_PrB2Os2
_space_group_name_H-M_alt 'F d d d'
_space_group_IT_number 70
_cell_length_a 6.568
_cell_length_b 9.105
_cell_length_c 10.018
_cell_angle_alpha 90.00
_cell_angle_beta 90.00
_cell_angle_gamma 90.00
loop_
_space_group_symop_operation_xyz
'x,y,z'
'-x,-y,-z'
'-x+1/4,-y+1/4,z'
'x+1/4,y+1/4,-z'
'x,-y+1/4,-z+1/4'
'-x,y+1/4,z+1/4'
'-x+1/4,y,-z+1/4'
'x+1/4,-y,z+1/4'
'x,y+1/2,z+1/2'
'-x,-y+1/2,-z+1/2'
'-x+1/4,-y+3/4,z+1/2'
'x+1/4,y+3/4,-z+1/2'
'x,-y+3/4,-z+3/4'
'-x,y+3/4,z+3/4'
'-x+1/4,y+1/2,-z+3/4'
'x+1/4,-y+1/2,z+3/4'
'x+1/2,y,z+1/2'
'-x+1/2,-y,-z+1/2'
'-x+3/4,-y+1/4,z+1/2'
'x+3/4,y+1/4,-z+1/2'
'x+1/2,-y+1/4,-z+3/4'
'-x+1/2,y+1/4,z+3/4'
'-x+3/4,y,-z+3/4'
'x+3/4,-y,z+3/4'
'x+1/2,y+1/2,z'
'-x+1/2,-y+1/2,-z'
'-x+3/4,-y+3/4,z'
'x+3/4,y+3/4,-z'
'x+1/2,-y+3/4,-z+1/4'
'-x+1/2,y+3/4,z+1/4'
'-x+3/4,y+1/2,-z+1/4'
'x+3/4,-y+1/2,z+1/4'
loop_
_atom_site_label
_atom_site_fract_x
_atom_site_fract_y
_atom_site_fract_z
_atom_site_occupancy
Pr1 0.125 0.125 0.125 1
B1 0.125 0.310 0.625 1
Os1 0.125 0.125 0.489 1
```

The energy relative to the elements is -39.4 kJ/mol of atoms.

The records above yield calculated total energy values of -1.39; -6.87; -2.10; -9.14 eV/atom, respectively.